<a>
VASP calculation (PBE) on crystalline KTlBAu at its relaxed geometry.

Cell and atoms, written as CIF:
```
data_KTlBAu
_chemical_formula_sum 'K4 Tl4 B4 Au4'
_space_group_name_H-M_alt 'F -4 3 m'
_space_group_IT_number 216
_space_group_name_Hall 'F -4 2 3'
_cell_length_a 7.145
_cell_length_b 7.145
_cell_length_c 7.145
_cell_angle_alpha 90.00
_cell_angle_beta 90.00
_cell_angle_gamma 90.00
loop_
_atom_site_label
_atom_site_fract_x
_atom_site_fract_y
_atom_site_fract_z
_atom_site_occupancy
K1 0.000 0.000 0.000 1
Tl1 0.000 0.000 0.500 1
B1 0.250 0.250 0.750 1
Au1 0.250 0.250 0.250 1
```

***

<b>
VASP calculation (PBE) on crystalline KTlBAu at its relaxed geometry.

Cell and atoms, written as CIF:
```
data_KTlBAu
_chemical_formula_sum 'K4 Tl4 B4 Au4'
_space_group_name_H-M_alt 'F -4 3 m'
_space_group_IT_number 216
_space_group_name_Hall 'F -4 2 3'
_cell_length_a 7.133
_cell_length_b 7.133
_cell_length_c 7.133
_cell_angle_alpha 90.00
_cell_angle_beta 90.00
_cell_angle_gamma 90.00
loop_
_atom_site_label
_atom_site_fract_x
_atom_site_fract_y
_atom_site_fract_z
_atom_site_occupancy
K1 0.000 0.000 0.000 1
Tl1 0.250 0.250 0.750 1
B1 0.000 0.000 0.500 1
Au1 0.250 0.250 0.250 1
```

***

Structures ranked by computed energy, the most stable listed first: <a>, <b>.

***

<a>
VASP calculation (PBE) on crystalline LiLaBAu at its relaxed geometry.

Cell and atoms, written as CIF:
```
data_LiLaBAu
_chemical_formula_sum 'Li4 La4 B4 Au4'
_space_group_name_H-M_alt 'F -4 3 m'
_space_group_IT_number 216
_space_group_name_Hall 'F -4 2 3'
_cell_length_a 6.475
_cell_length_b 6.475
_cell_length_c 6.475
_cell_angle_alpha 90.00
_cell_angle_beta 90.00
_cell_angle_gamma 90.00
loop_
_atom_site_label
_atom_site_fract_x
_atom_site_fract_y
_atom_site_fract_z
_atom_site_occupancy
Li1 0.000 0.000 0.000 1
La1 0.250 0.250 0.750 1
B1 0.000 0.000 0.500 1
Au1 0.250 0.250 0.250 1
```

***

<b>
VASP calculation (PBE) on crystalline LiLaBAu at its relaxed geometry.

Cell and atoms, written as CIF:
```
data_LiLaBAu
_chemical_formula_sum 'Li4 La4 B4 Au4'
_space_group_name_H-M_alt 'F -4 3 m'
_space_group_IT_number 216
_space_group_name_Hall 'F -4 2 3'
_cell_length_a 6.646
_cell_length_b 6.646
_cell_length_c 6.646
_cell_angle_alpha 90.00
_cell_angle_beta 90.00
_cell_angle_gamma 90.00
loop_
_atom_site_label
_atom_site_fract_x
_atom_site_fract_y
_atom_site_fract_z
_atom_site_occupancy
Li1 0.000 0.000 0.000 1
La1 0.250 0.250 0.750 1
B1 0.250 0.250 0.250 1
Au1 0.000 0.000 0.500 1
```

***

Structures ranked by computed energy, the most stable listed first: <a>, <b>.

***

<a>
VASP calculation (PBE) on crystalline NaLaBAu at its relaxed geometry.

Cell and atoms, written as CIF:
```
data_NaLaBAu
_chemical_formula_sum 'Na4 La4 B4 Au4'
_space_group_name_H-M_alt 'F -4 3 m'
_space_group_IT_number 216
_space_group_name_Hall 'F -4 2 3'
_cell_length_a 6.809
_cell_length_b 6.809
_cell_length_c 6.809
_cell_angle_alpha 90.00
_cell_angle_beta 90.00
_cell_angle_gamma 90.00
loop_
_atom_site_label
_atom_site_fract_x
_atom_site_fract_y
_atom_site_fract_z
_atom_site_occupancy
Na1 0.000 0.000 0.000 1
La1 0.250 0.250 0.750 1
B1 0.250 0.250 0.250 1
Au1 0.000 0.000 0.500 1
```

***

<b>
VASP calculation (PBE) on crystalline NaLaBAu at its relaxed geometry.

Cell and atoms, written as CIF:
```
data_NaLaBAu
_chemical_formula_sum 'Na4 La4 B4 Au4'
_space_group_name_H-M_alt 'F -4 3 m'
_space_group_IT_number 216
_space_group_name_Hall 'F -4 2 3'
_cell_length_a 6.694
_cell_length_b 6.694
_cell_length_c 6.694
_cell_angle_alpha 90.00
_cell_angle_beta 90.00
_cell_angle_gamma 90.00
loop_
_atom_site_label
_atom_site_fract_x
_atom_site_fract_y
_atom_site_fract_z
_atom_site_occupancy
Na1 0.000 0.000 0.000 1
La1 0.250 0.250 0.750 1
B1 0.000 0.000 0.500 1
Au1 0.250 0.250 0.250 1
```

***

<c>
VASP calculation (PBE) on crystalline NaLaBAu at its relaxed geometry.

Cell and atoms, written as CIF:
```
data_NaLaBAu
_chemical_formula_sum 'Na4 La4 B4 Au4'
_space_group_name_H-M_alt 'F -4 3 m'
_space_group_IT_number 216
_space_group_name_Hall 'F -4 2 3'
_cell_length_a 6.996
_cell_length_b 6.996
_cell_length_c 6.996
_cell_angle_alpha 90.00
_cell_angle_beta 90.00
_cell_angle_gamma 90.00
loop_
_atom_site_label
_atom_site_fract_x
_atom_site_fract_y
_atom_site_fract_z
_atom_site_occupancy
Na1 0.000 0.000 0.000 1
La1 0.000 0.000 0.500 1
B1 0.250 0.250 0.750 1
Au1 0.250 0.250 0.250 1
```

***

Structures ranked by computed energy, the most stable listed first: <c>, <b>, <a>.